TlNi3Se, relaxed, DFT PBE; density = 8.7 g/cm³; polymorph energy (0 for the lowest one) = 0.00 eV per formula unit; SG = No. 221
1.0
-3.758 -1.056 -2.130
2.334 -0.879 -3.681
0.453 -4.229 1.297
Ni Se Tl
3 1 1
direct
0.500 0.000 0.000
0.000 0.500 0.000
0.000 0.000 0.500
0.000 0.000 0.000
0.500 0.500 0.500

***

TbPr6Ho6, relaxed, DFT PBE; density = 7.3 g/cm³; SG = No. 191; DFT formation energy = 0.261 eV per atom
1.0
6.755 0.000 0.000
-3.377 5.850 0.000
0.000 0.000 11.469
Ho Pr Tb
6 6 1
direct
0.000 0.500 0.247
0.500 0.500 0.753
0.500 0.000 0.247
0.000 0.500 0.753
0.500 0.000 0.753
0.500 0.500 0.247
0.667 0.333 0.500
0.000 0.000 0.656
0.000 0.000 0.344
0.333 0.667 0.500
0.667 0.333 0.000
0.333 0.667 0.000
0.000 0.000 0.000

***

Ho12InSi5, relaxed, DFT PBE; density = 8.1 g/cm³; SG = No. 71; electronic total energy = -94.89 eV/cell
1.0
7.837 -0.119 -3.061
-4.120 6.956 -2.332
-0.071 0.119 8.413
Ho Si In
12 5 1
direct
0.297 0.320 0.618
0.910 0.181 0.730
0.297 0.680 0.977
0.703 0.680 0.382
0.803 0.037 0.234
0.197 0.963 0.766
0.549 0.819 0.730
0.451 0.181 0.270
0.197 0.431 0.234
0.703 0.320 0.023
0.090 0.819 0.270
0.803 0.569 0.766
0.500 0.116 0.616
0.371 0.371 0.000
0.000 0.000 0.000
0.629 0.629 0.000
0.500 0.884 0.384
0.000 0.500 0.500

***

ErInHgPb, relaxed, DFT PBE; density = 11.2 g/cm³; polymorph energy (0 for the lowest one) = 0.00 eV per formula unit; SG = No. 47; DFT formation energy = -0.328 eV per atom
1.0
-1.471 1.152 4.212
2.424 -3.490 1.801
3.792 2.907 0.529
Er Hg Pb In
1 1 1 1
direct
0.500 0.000 0.500
0.500 0.500 0.000
0.000 0.500 0.500
0.000 0.000 0.000